Record 1
## CuNi2Au (PBE)

Data for CuNi2Au after structural relaxation.

Lattice parameters (Å, degrees): 2.949 2.949 5.951 90.00 90.00 90.00
Fractional coordinates of all 4 atoms:
1 Cu 0.000 0.000 0.000
2 Ni 0.500 0.500 0.220
3 Ni 0.500 0.500 0.780
4 Au 0.000 0.000 0.500

Final energy: -4.6224 eV per atom



Record 2
## CuNiAu2 (PBE)

Data for CuNiAu2 after structural relaxation.

Lattice parameters (Å, degrees): 4.401 4.401 4.401 60.00 60.00 60.00
Fractional coordinates of all 4 atoms:
1 Cu 0.000 0.000 0.000
2 Ni 0.250 0.250 0.250
3 Au 0.500 0.500 0.500
4 Au 0.750 0.750 0.750

Final energy: -3.9818 eV per atom



Record 3
## Cu8Ni2Au (PBE)

Data for Cu8Ni2Au after structural relaxation.

Lattice parameters (Å, degrees): 6.860 6.860 5.823 104.80 104.80 30.77
Fractional coordinates of all 11 atoms:
1 Cu 0.050 0.050 0.217
2 Cu 0.143 0.143 0.696
3 Cu 0.314 0.314 0.590
4 Cu 0.404 0.404 0.035
5 Cu 0.596 0.596 0.965
6 Cu 0.686 0.686 0.410
7 Cu 0.857 0.857 0.304
8 Cu 0.950 0.950 0.783
9 Ni 0.229 0.229 0.134
10 Ni 0.771 0.771 0.866
11 Au 0.500 0.500 0.500

Final energy: -4.3247 eV per atom
Polymorph energy (0 for the lowest one): 0.0 meV per atom



Record 4
## CuNiAu (PBE)

Data for CuNiAu after structural relaxation.

Lattice parameters (Å, degrees): 2.752 2.752 6.385 90.00 90.00 120.00
Fractional coordinates of all 3 atoms:
1 Cu 0.000 0.000 0.000
2 Ni 0.667 0.333 0.300
3 Au 0.333 0.667 0.647

Final energy: -4.2577 eV per atom
Polymorph energy (0 for the lowest one): 92.3 meV per atom



Values for formation energy from the elements, meV/atom, ordered as above
112, 126, 3, 127